{
  "formula": "NaTl2MoO6",
  "functional": "PBE with a Hubbard U",
  "state": "optimized geometry",
  "magnetic_moment_mub_per_atom": 0.000,
  "energy_ev_per_cell": -110.344,
  "rho_g_cm3": 6.0,
  "lattice": [[-0.835, -1.917, -6.692], [0.767, -7.687, 0.008], [-6.208, -4.597, -0.007]],
  "species": ["O", "O", "O", "O", "O", "O", "O", "O", "O", "O", "O", "O", "Mo", "Mo", "Tl", "Tl", "Tl", "Tl", "Na", "Na"],
  "fractional_positions": [[0.595, 0.627, 0.274], [0.322, 0.433, 0.172], [0.178, 0.828, 0.567], [0.678, 0.567, 0.828], [0.903, 0.847, 0.943], [0.405, 0.373, 0.726], [0.403, 0.943, 0.847], [0.597, 0.057, 0.153], [0.905, 0.726, 0.373], [0.097, 0.153, 0.057], [0.095, 0.274, 0.627], [0.822, 0.172, 0.433], [0.750, 0.820, 0.180], [0.250, 0.180, 0.820], [0.167, 0.163, 0.348], [0.667, 0.348, 0.163], [0.333, 0.652, 0.837], [0.833, 0.837, 0.652], [0.750, 0.379, 0.621], [0.250, 0.621, 0.379]]
}